Material: TaCo2Ni
Method: DFT, GGA-PBE
State: optimized geometry

Results
* DOS(E_F): 4.9 states/eV per cell
* symmetry: I4/mmm
* energy relative to the lowest polymorph listed for this composition: 0.092 eV per atom

Cell: 4.461 4.461 3.688 Å, 65.59 65.59 48.84°
Last column: magnetic moment on the atom in μB.
Positions (direct):
1 Ta 0.250 0.250 0.250  -0.17
2 Ni 0.750 0.750 0.750  0.25
3 Co 0.500 0.500 0.500  0.64
4 Co 0.000 0.000 0.000  0.64

=====

Material: Bi3Sb
Method: DFT, GGA-PBE
State: optimized geometry

Results
* DOS(E_F): 2.5 states/eV per cell
* symmetry: I4/mmm
* raw formation energy: 0.210 eV per atom
* energy relative to the lowest polymorph listed for this composition: 0.216 eV per atom

Cell: 4.762 4.762 6.392 Å, 111.87 111.87 90.00°
Positions (direct):
1 Bi 0.500 0.500 0.000
2 Sb 0.000 0.000 0.000
3 Bi 0.250 0.750 0.500
4 Bi 0.750 0.250 0.500

=====

Material: LaAlSn3
Method: DFT, GGA-PBE
State: optimized geometry

Results
* DOS(E_F): 4.4 states/eV per cell
* symmetry: Pm-3m
* energy relative to the lowest polymorph listed for this composition: 0.000 eV per atom

Cell: 5.302 5.302 5.302 Å, 90.00 90.00 90.00°
Positions (direct):
1 Sn 0.500 0.000 0.000
2 La 0.500 0.500 0.500
3 Sn 0.000 0.000 0.500
4 Al 0.000 0.000 0.000
5 Sn 0.000 0.500 0.000

=====

Material: Cr2ReOs
Method: DFT, GGA-PBE
State: optimized geometry

Results
* DOS(E_F): 4.8 states/eV per cell
* symmetry: Cm
* energy: -10.577 eV/atom

Cell: 4.629 4.629 4.570 Å, 80.52 80.52 33.77°
Positions (direct):
1 Cr 0.248 0.248 0.252
2 Cr 0.998 0.998 0.005
3 Os 0.503 0.503 0.487
4 Re 0.752 0.752 0.755

=====

Material: VTcTeI2
Method: DFT, GGA-PBE
State: optimized geometry

Results
* DOS(E_F): 5.6 states/eV per cell
* symmetry: P4/mmm
* raw formation energy: 1.000 eV per atom
* energy relative to the lowest polymorph listed for this composition: 0.054 eV per atom

Cell: 5.483 5.483 5.238 Å, 90.00 90.00 90.00°
Last column: magnetic moment on the atom in μB.
Positions (direct):
1 I 0.500 0.000 0.000  0.06
2 Te 0.000 0.000 0.500  0.01
3 V 0.000 0.000 0.000  -0.03
4 I 0.000 0.500 0.000  0.06
5 Tc 0.500 0.500 0.500  3.93

=====

Material: PaNb2Se2S4
Method: DFT, GGA-PBE
State: optimized geometry

Results
* DOS(E_F): 5.7 states/eV per cell
* symmetry: P3m1
* raw formation energy: -0.973 eV per atom

Cell: 3.522 3.522 20.411 Å, 90.00 90.00 120.00°
Last column: magnetic moment on the atom in μB.
Positions (direct):
1 S 0.667 0.333 0.055  -0.01
2 Se 0.667 0.333 0.416  -0.01
3 Pa 0.000 0.000 0.322  0.63
4 S 0.667 0.333 0.907  0.00
5 Nb 0.000 0.000 0.980  0.35
6 S 0.000 0.000 0.582  -0.01
7 Nb 0.667 0.333 0.657  0.37
8 Se 0.667 0.333 0.228  -0.02
9 S 0.000 0.000 0.731  0.00

=====

Material: CuRu
Method: DFT, GGA-PBE
State: optimized geometry

Results
* DOS(E_F): 13.7 states/eV per cell
* symmetry: Pnma
* energy: -6.326 eV/atom

Cell: 7.780 4.070 6.923 Å, 90.00 90.00 90.00°
Positions (direct):
1 Cu 0.395 0.750 0.765
2 Ru 0.748 0.750 0.399
3 Ru 0.752 0.250 0.899
4 Ru 0.252 0.250 0.601
5 Ru 0.580 0.250 0.593
6 Cu 0.086 0.750 0.455
7 Cu 0.605 0.250 0.235
8 Cu 0.914 0.250 0.545
9 Ru 0.420 0.750 0.407
10 Cu 0.414 0.250 0.955
11 Cu 0.105 0.250 0.265
12 Ru 0.920 0.750 0.093
13 Ru 0.248 0.750 0.101
14 Ru 0.080 0.250 0.907
15 Cu 0.586 0.750 0.045
16 Cu 0.895 0.750 0.735

=====

Material: Ga2HSe
Method: DFT, GGA-PBE
State: optimized geometry

Results
* DOS(E_F): 1.3 states/eV per cell
* symmetry: I-42d
* energy relative to the lowest polymorph listed for this composition: 0.000 eV per atom

Cell: 5.513 5.513 6.381 Å, 64.41 64.41 90.00°
Positions (direct):
1 H 0.250 0.750 0.500
2 Se 0.750 0.250 0.500
3 Ga 0.875 0.784 0.750
4 Se 0.000 0.000 0.000
5 Ga 0.534 0.125 0.250
6 Ga 0.375 0.466 0.750
7 Ga 0.216 0.625 0.250
8 H 0.500 0.500 0.000

=====

Material: Zr3BiH
Method: DFT, GGA-PBE
State: optimized geometry

Results
* DOS(E_F): 8.2 states/eV per cell
* symmetry: P1
* energy relative to the lowest polymorph listed for this composition: 0.034 eV per atom

Cell: 6.126 6.499 5.560 Å, 87.61 77.17 63.36°
Positions (direct):
1 H 0.207 0.374 0.319
2 Bi 0.559 0.704 0.417
3 Zr 0.538 0.976 0.917
4 Zr 0.043 0.187 0.526
5 Zr 0.050 0.428 0.007
6 Zr 0.541 0.219 0.430
7 Zr 0.540 0.479 0.924
8 Bi 0.033 0.942 0.031
9 Zr 0.047 0.677 0.532
10 H 0.796 0.024 0.631

=====

Material: Dy6ErTm5
Method: DFT, GGA-PBE
State: optimized geometry

Results
* DOS(E_F): 15.6 states/eV per cell
* symmetry: Cmmm
* energy: -4.523 eV/atom

Cell: 4.961 7.852 9.911 Å, 90.00 90.00 71.58°
Positions (direct):
1 Dy 0.167 0.667 0.250
2 Tm 0.333 0.334 0.000
3 Tm 0.000 0.000 0.500
4 Er 0.000 0.000 0.000
5 Tm 0.333 0.333 0.500
6 Dy 0.833 0.333 0.750
7 Tm 0.667 0.667 0.500
8 Dy 0.500 0.000 0.250
9 Dy 0.833 0.333 0.250
10 Tm 0.667 0.666 0.000
11 Dy 0.500 0.000 0.750
12 Dy 0.167 0.667 0.750

=====

Material: Tl2CrReB
Method: DFT, GGA-PBE
State: optimized geometry

Results
* DOS(E_F): 4.2 states/eV per cell
* symmetry: P4/mmm
* energy: -5.263 eV/atom

Cell: 4.718 4.064 4.718 Å, 90.00 90.00 90.00°
Last column: magnetic moment on the atom in μB.
Positions (direct):
1 B 0.000 0.000 0.000  -0.12
2 Re 0.500 0.500 0.500  -1.80
3 Cr 0.000 0.500 0.000  2.85
4 Tl 0.500 0.000 0.000  0.02
5 Tl 0.000 0.000 0.500  0.00

=====

Material: LiNd5Al4
Method: DFT, GGA-PBE
State: optimized geometry

Results
* DOS(E_F): 3.3 states/eV per cell
* symmetry: P4/mmm
* energy: -4.353 eV/atom

Cell: 3.718 3.718 19.091 Å, 90.00 90.00 90.00°
Positions (direct):
1 Nd 0.500 0.500 0.889
2 Al 0.000 0.000 0.203
3 Li 0.000 0.000 0.000
4 Nd 0.500 0.500 0.695
5 Al 0.000 0.000 0.402
6 Nd 0.500 0.500 0.500
7 Al 0.000 0.000 0.797
8 Nd 0.500 0.500 0.305
9 Al 0.000 0.000 0.598
10 Nd 0.500 0.500 0.111

=====

Material: BeWBr
Method: DFT, GGA-PBE
State: optimized geometry

Results
* DOS(E_F): 1.9 states/eV per cell
* symmetry: P3m1
* raw formation energy: 0.714 eV per atom
* energy relative to the lowest polymorph listed for this composition: 0.000 eV per atom

Cell: 3.043 3.043 5.970 Å, 90.00 90.00 120.00°
Positions (direct):
1 W 0.333 0.667 0.680
2 Be 0.000 0.000 0.976
3 Br 0.667 0.333 0.345

=====

Material: Pm2Al3Sn2
Method: DFT, GGA-PBE
State: optimized geometry

Results
* DOS(E_F): 6.1 states/eV per cell
* symmetry: I2_13
* energy: -4.361 eV/atom

Cell: 7.739 7.739 7.739 Å, 109.47 109.47 109.47°
Positions (direct):
1 Al 0.728 0.250 0.478
2 Al 0.750 0.478 0.228
3 Al 0.978 0.228 0.250
4 Pm 0.000 0.000 0.506
5 Pm 0.006 0.500 0.000
6 Al 0.772 0.750 0.022
7 Pm 0.494 0.994 0.994
8 Sn 0.104 0.604 0.604
9 Sn 0.500 0.896 0.500
10 Sn 0.396 0.500 0.000
11 Pm 0.500 0.506 0.500
12 Al 0.522 0.272 0.750
13 Al 0.250 0.022 0.272
14 Sn 0.000 0.000 0.896

=====

Material: Zn6CuPt
Method: DFT, GGA-PBE
State: optimized geometry

Results
* DOS(E_F): 2.1 states/eV per cell
* symmetry: R-3m
* energy relative to the lowest polymorph listed for this composition: 0.000 eV per atom

Cell: 4.312 4.312 7.511 Å, 73.32 73.32 60.00°
Positions (direct):
1 Zn 0.249 0.249 0.254
2 Zn 0.627 0.627 0.118
3 Zn 0.373 0.373 0.882
4 Zn 0.123 0.123 0.632
5 Cu 0.000 0.000 0.000
6 Pt 0.500 0.500 0.500
7 Zn 0.877 0.877 0.368
8 Zn 0.751 0.751 0.746

=====

Material: Ag4Sb2S5
Method: DFT, GGA-PBE
State: optimized geometry

Results
* DOS(E_F): 4.3 states/eV per cell
* symmetry: R-3m
* raw formation energy: 0.005 eV per atom

Cell: 4.180 4.180 17.158 Å, 83.00 83.00 60.00°
Positions (direct):
1 S 0.367 0.367 0.898
2 S 0.225 0.225 0.325
3 S 0.500 0.500 0.500
4 Ag 0.585 0.585 0.246
5 Sb 0.135 0.135 0.594
6 Ag 0.305 0.305 0.084
7 Ag 0.415 0.415 0.754
8 Ag 0.695 0.695 0.916
9 S 0.775 0.775 0.675
10 S 0.633 0.633 0.102
11 Sb 0.865 0.865 0.406

=====

Material: CaOsRu
Method: DFT, GGA-PBE
State: optimized geometry

Results
* DOS(E_F): 5.9 states/eV per cell
* symmetry: P4/nmm
* energy relative to the lowest polymorph listed for this composition: 0.168 eV per atom

Cell: 4.552 4.552 6.329 Å, 90.00 90.00 90.00°
Positions (direct):
1 Os 0.000 0.500 0.348
2 Ru 0.500 0.500 0.500
3 Ru 0.000 0.000 0.500
4 Os 0.500 0.000 0.652
5 Ca 0.000 0.500 0.852
6 Ca 0.500 0.000 0.148

=====

Material: AgRhPbF6
Method: DFT, GGA-PBE
State: optimized geometry

Results
* symmetry: P4_2nm
* raw formation energy: -1.712 eV per atom

Cell: 5.347 5.347 10.714 Å, 90.00 90.00 90.00°
Positions (direct):
1 F 0.823 0.177 0.192
2 F 0.677 0.677 0.692
3 Rh 0.000 0.000 0.334
4 Pb 0.500 0.500 0.172
5 Ag 0.500 0.500 0.496
6 F 0.268 0.268 0.333
7 F 0.321 0.321 0.974
8 Pb 0.000 0.000 0.672
9 F 0.232 0.768 0.833
10 F 0.323 0.323 0.692
11 Ag 0.000 0.000 0.996
12 F 0.177 0.823 0.192
13 F 0.179 0.821 0.474
14 Rh 0.500 0.500 0.834
15 F 0.821 0.179 0.474
16 F 0.679 0.679 0.974
17 F 0.768 0.232 0.833
18 F 0.732 0.732 0.333

=====

Material: Y3Pt
Method: DFT, GGA-PBE
State: optimized geometry

Results
* DOS(E_F): 20.0 states/eV per cell
* symmetry: P6_3/mmc
* energy: -6.749 eV/atom

Cell: 6.718 6.718 10.350 Å, 90.00 90.00 60.00°
Positions (direct):
1 Y 0.312 0.844 0.750
2 Pt 0.000 0.000 0.000
3 Pt 0.667 0.667 0.250
4 Y 0.000 0.500 0.500
5 Y 0.844 0.312 0.750
6 Y 0.844 0.844 0.750
7 Y 0.500 0.000 0.500
8 Y 0.156 0.156 0.250
9 Y 0.500 0.000 0.000
10 Y 0.500 0.500 0.000
11 Y 0.688 0.156 0.250
12 Y 0.156 0.688 0.250
13 Pt 0.333 0.333 0.750
14 Pt 0.000 0.000 0.500
15 Y 0.000 0.500 0.000
16 Y 0.500 0.500 0.500

=====

Material: SiPb2Se
Method: DFT, GGA-PBE
State: optimized geometry

Results
* DOS(E_F): 4.0 states/eV per cell
* symmetry: F-43m
* raw formation energy: 0.388 eV per atom
* energy relative to the lowest polymorph listed for this composition: 0.337 eV per atom

Cell: 5.239 5.239 5.239 Å, 60.00 60.00 60.00°
Positions (direct):
1 Se 0.500 0.500 0.500
2 Pb 0.250 0.250 0.250
3 Pb 0.000 0.000 0.000
4 Si 0.750 0.750 0.750

=====

Number 1: ρ 12.1 g cm⁻³. Number 2: ρ 10.1 g cm⁻³. Number 3: ρ 5.8 g cm⁻³. Number 4: ρ 14.9 g cm⁻³. Number 5: ρ 5.6 g cm⁻³. Number 6: ρ 5.3 g cm⁻³. Number 7: ρ 10.0 g cm⁻³. Number 8: ρ 4.7 g cm⁻³. Number 9: ρ 8.3 g cm⁻³. Number 10: ρ 9.0 g cm⁻³. Number 11: ρ 12.1 g cm⁻³. Number 12: ρ 5.3 g cm⁻³. Number 13: ρ 9.5 g cm⁻³. Number 14: ρ 5.7 g cm⁻³. Number 15: ρ 9.5 g cm⁻³. Number 16: ρ 5.4 g cm⁻³. Number 17: ρ 8.4 g cm⁻³. Number 18: ρ 5.8 g cm⁻³. Number 19: ρ 7.6 g cm⁻³. Number 20: ρ 8.5 g cm⁻³.